Below is a relaxed Sm2MgCd6 crystal, with properties calculated at the GGA-PBE level.

Unit cell a=6.5110 b=6.2683 c=6.2683 alpha=60.17 beta=90.23 gamma=90.23
Sites, in units of the cell vectors:
1 Cd 0.3270 0.8246 0.8246
2 Sm 0.1363 0.3335 0.3335
3 Cd 0.6730 0.1754 0.1754
4 Mg 0.0000 0.0000 0.0000
5 Cd 0.3289 0.3524 0.8244
6 Cd 0.3289 0.8244 0.3524
7 Cd 0.6711 0.6476 0.1756
8 Cd 0.6711 0.1756 0.6476
9 Sm 0.8637 0.6665 0.6665

As for the total magnetization: 0.00 μB per atom. For the volume, the calculation gives 221.9 Å³/cell. The space-group type is No. 12. For the density of states at the Fermi level, the calculation gives 0.620 states/eV/atom. The calculation puts the uncorrected energy at -18.6 eV/cell.

=====

Below is a relaxed PmNd8Sc2 crystal, with properties calculated at the GGA-PBE level.

Unit cell a=5.5478 b=8.4498 c=9.3705 alpha=116.80 beta=107.22 gamma=90.00
Sites, in units of the cell vectors:
1 Sc 0.7997 0.2997 0.5994
2 Nd 0.6440 0.4414 0.2881
3 Nd 0.0000 0.3006 0.0000
4 Nd 0.1615 0.1615 0.3231
5 Nd 0.3559 0.1533 0.7119
6 Nd 0.3560 0.5586 0.7119
7 Sc 0.2003 0.7003 0.4006
8 Nd 0.0000 0.6994 0.0000
9 Nd 0.6441 0.8467 0.2881
10 Nd 0.8385 0.8385 0.6769
11 Pm 0.5000 0.0000 0.0000

As for the total magnetization: 0.00 μB per atom. For the volume, the calculation gives 369.9 Å³/cell. The space-group type is No. 71. For the density of states at the Fermi level, the calculation gives 1.531 states/eV/atom. The calculation puts the energy above the most stable polymorph in this dataset at 0.000 eV per atom.

=====

Below is a relaxed Ba2PaGeSe5 crystal, with properties calculated at the GGA-PBE level.

Unit cell a=4.4322 b=9.5972 c=13.8222 alpha=90.00 beta=90.00 gamma=103.35
Last column: magnetic moment on the atom in μB.
Sites, in units of the cell vectors:
1 Pa 0.7881 0.5763 0.5232  0.99
2 Se 0.2773 0.5545 0.6603  -0.02
3 Se 0.3178 0.6357 0.3875  -0.02
4 Ba 0.8998 0.7995 0.1741  0.00
5 Se 0.5053 0.0106 0.2673  0.00
6 Pa 0.2119 0.4237 0.0232  0.99
7 Se 0.9348 0.8696 0.5613  -0.02
8 Ba 0.1003 0.2005 0.6741  0.00
9 Se 0.7227 0.4455 0.1603  -0.02
10 Ba 0.8695 0.7389 0.8078  0.01
11 Ge 0.5463 0.0925 0.9475  0.00
12 Se 0.0652 0.1304 0.0613  -0.02
13 Ge 0.4537 0.9075 0.4475  0.00
14 Ba 0.1305 0.2611 0.3078  0.01
15 Se 0.3611 0.7222 0.9951  -0.02
16 Se 0.4947 0.9894 0.7673  0.00
17 Se 0.6389 0.2778 0.4951  -0.02
18 Se 0.6822 0.3643 0.8875  -0.02

As for the total magnetization: 0.11 μB per atom. For the volume, the calculation gives 572.1 Å³/cell. The space-group type is No. 36. For the density of states at the Fermi level, the calculation gives 0.629 states/eV/atom. For the uncorrected formation energy, the calculation gives -12.50 eV per formula unit.

=====

Below is a relaxed Ta2HgRu crystal, with properties calculated at the GGA-PBE level.

Unit cell a=5.1028 b=5.1028 c=4.9303 alpha=74.76 beta=74.76 gamma=34.95
Sites, in units of the cell vectors:
1 Ta 0.9893 0.9893 0.0087
2 Hg 0.5060 0.5060 0.4919
3 Ta 0.7417 0.7417 0.7561
4 Ru 0.2630 0.2630 0.2433

As for the total magnetization: 0.00 μB per atom. For the volume, the calculation gives 70.7 Å³/cell. The space-group type is No. 8. For the density of states at the Fermi level, the calculation gives 0.775 states/eV/atom. The calculation puts the uncorrected energy at -32.6 eV/cell.